Material: CrBrO2F
Method: DFT, GGA+U
State: optimized geometry

As for the density of states at the Fermi level: 6.698 states/eV/cell. The calculation puts the energy at -22.9 eV/cell.

The structure belongs to space group P4/mmm (No. 123); the cell edges are 3.787, 3.787 and 4.113 Å and the angles 90.00°, 90.00° and 90.00°. Symmetry generates all atoms from Cr at (0.000, 0.000, 0.000), Br at (0.500, 0.500, 0.500), O at (0.000, 0.500, 0.000) and F at (0.000, 0.000, 0.500).